Below is a relaxed structure of Sm4Dy4Y5, with properties calculated at the PBE level.

Unit cell a=9.4739 b=9.4739 c=9.4739 alpha=94.08 beta=94.08 gamma=149.05
Last column: nearest neighbours and their distance in Å.
Fractional positions:
Sm1 0.0774 0.6165 0.6939  4 Dy 3.56-3.58, 3 Y 3.58-3.60, 5 Sm 3.59-3.61
Sm2 0.3835 0.0774 0.4609  4 Dy 3.56-3.58, 3 Y 3.58-3.60, 5 Sm 3.59-3.61
Sm3 0.6165 0.9226 0.5391  4 Dy 3.56-3.58, 3 Y 3.58-3.60, 5 Sm 3.59-3.61
Sm4 0.9226 0.3835 0.3061  4 Dy 3.56-3.58, 3 Y 3.58-3.60, 5 Sm 3.59-3.61
Dy1 0.1542 0.2308 0.3849  4 Sm 3.56-3.58, 2 Dy 3.57, 6 Y 3.57-3.59
Dy2 0.2308 0.8458 0.0766  4 Sm 3.56-3.58, 2 Dy 3.57, 6 Y 3.57-3.59
Dy3 0.7692 0.1542 0.9234  4 Sm 3.56-3.58, 2 Dy 3.57, 6 Y 3.57-3.59
Dy4 0.8458 0.7692 0.6151  4 Sm 3.56-3.58, 2 Dy 3.57, 6 Y 3.57-3.59
Y1 0.0000 0.0000 0.0000  8 Y 3.57, 4 Dy 3.58
Y2 0.3085 0.4612 0.7696  4 Y 3.57, 5 Dy 3.57-3.59, 3 Sm 3.58-3.60
Y3 0.4612 0.6915 0.1527  4 Y 3.57, 5 Dy 3.57-3.59, 3 Sm 3.58-3.60
Y4 0.5388 0.3085 0.8473  4 Y 3.57, 5 Dy 3.57-3.59, 3 Sm 3.58-3.60
Y5 0.6915 0.5388 0.2304  4 Y 3.57, 5 Dy 3.57-3.59, 3 Sm 3.58-3.60

## Properties
Calculated volume = 32.42 A^3/atom
DFT formation energy = 0.018 eV per atom
Total magnetic moment = 0.0 μB/cell
Symmetry = No. 87

Below is a relaxed structure of LiTcIr2, with properties calculated at the PBE level.

Unit cell a=4.2882 b=4.2882 c=4.2882 alpha=60.00 beta=60.00 gamma=60.00
Last column: nearest neighbours and their distance in Å.
Fractional positions:
Li1 0.0000 0.0000 0.0000  8 Ir 2.63
Tc1 0.5000 0.5000 0.5000  8 Ir 2.63
Ir1 0.2500 0.2500 0.2500  4 Tc 2.63, 4 Li 2.63
Ir2 0.7500 0.7500 0.7500  4 Tc 2.63, 4 Li 2.63

## Properties
Calculated volume = 13.94 A^3/atom
Excess energy over the best structure of this formula in the dataset = 175 meV per atom
DFT formation energy = 0.060 eV per atom
Total magnetic moment = 1.6 μB/cell
Symmetry = No. 225

Below is a relaxed structure of Mg2AlSn, with properties calculated at the PBE level.

Unit cell a=5.3371 b=5.3371 c=5.3371 alpha=130.43 beta=130.43 gamma=72.73
Last column: nearest neighbours and their distance in Å.
Fractional positions:
Mg1 0.2500 0.7500 0.5000  4 Sn 3.10, 4 Al 3.10, 4 Mg 3.16
Mg2 0.7500 0.2500 0.5000  4 Sn 3.10, 4 Al 3.10, 4 Mg 3.16
Al1 0.0000 0.0000 0.0000  8 Mg 3.10, 4 Sn 3.16
Sn1 0.5000 0.5000 0.0000  8 Mg 3.10, 4 Al 3.16

## Properties
Calculated volume = 21.52 A^3/atom
DFT formation energy = -0.049 eV per atom
Total magnetic moment = 0.0 μB/cell
Symmetry = No. 139